CaAlSb2Ru: optimized geometry, PBE.

Summary:
- symmetry = P4/mmm (123)
- N(E_F) (states/eV per cell) = 8.27
- spin magnetization (μB per atom) = 0.000
- calculated volume (A^3/atom) = 27.64
- raw total energy (eV for the cell shown) = -18.08

Unit cell a=5.121 b=5.121 c=5.269 alpha=90.00 beta=90.00 gamma=90.00
Fractional positions:
1 Ca 0.000 0.000 0.000
2 Al 0.000 0.000 0.500
3 Sb 0.000 0.500 0.500
4 Sb 0.500 0.000 0.500
5 Ru 0.500 0.500 0.000